Crystalline TbHoPbC at its relaxed geometry, computed with PBE-GGA.

The structure in CIF format:
```
data_TbHoPbC
_cell_length_a 3.6385
_cell_length_b 3.6385
_cell_length_c 16.1687
_cell_angle_alpha 90.00
_cell_angle_beta 90.00
_cell_angle_gamma 120.00
_space_group_name_H-M_alt 'P -3 m 1'
_space_group_IT_number 164
_space_group_name_Hall '-P 3 2"'
loop_
_atom_site_label
_atom_site_type_symbol
_atom_site_fract_x
_atom_site_fract_y
_atom_site_fract_z
Tb1 Tb 0.3333 0.6667 0.0833
Ho1 Ho 0.3333 0.6667 0.4180
Pb1 Pb 0.3333 0.6667 0.7488
C1 C 0.0000 0.0000 0.0000
C2 C 0.0000 0.0000 0.5000
```

Values from the calculation:
DFT total energy = -24.10 eV/f.u.
M_tot = 0.033 μB/cell